i.
Here is a PBEsol-optimized structure of Cd4Hg from Alexandria via LeMat-Bulk. Energies are from SCAN.

Structure (extended XYZ):
```
5
Lattice="-1.706 -3.432 1.326 -0.031 -1.448 -3.788 7.273 -0.352 2.246" Properties=species:S:1:pos:R:3 pbc="T T T"
Cd 5.162 -2.250 0.818
Cd 2.350 -3.112 1.170
Hg 0.000 0.000 0.000
Cd 0.375 -2.982 -1.034
Cd 3.187 -2.120 -1.386
```

---

ii.
Here is a PBEsol-optimized structure of Cd4Hg from Alexandria via LeMat-Bulk. Energies are from SCAN.

Structure (extended XYZ):
```
5
Lattice="4.382 0.000 0.000 2.191 4.902 0.000 2.191 0.000 4.902" Properties=species:S:1:pos:R:3 pbc="T T T"
Cd 4.382 0.991 2.946
Cd 2.191 1.956 0.991
Hg 0.000 0.000 0.000
Cd 6.573 2.946 3.910
Cd 4.382 3.910 1.956
```

---

iii.
Here is a PBEsol-optimized structure of Cd4Hg from Alexandria via LeMat-Bulk. Energies are from SCAN.

Structure (extended XYZ):
```
20
Lattice="-5.826 -3.002 5.350 4.509 -6.426 -3.156 5.148 5.301 4.121" Properties=species:S:1:pos:R:3 pbc="T T T"
Cd 4.659 0.012 2.850
Cd -0.234 0.792 3.262
Cd 2.555 -2.754 4.213
Cd 1.755 -4.995 1.338
Cd 1.501 -2.139 -1.051
Cd 6.331 -0.738 0.633
Cd 4.499 -2.920 1.031
Cd -0.864 -6.181 1.438
Hg -3.889 -2.004 3.571
Cd -0.445 1.507 6.209
Cd -0.454 -3.247 0.756
Cd 1.714 1.765 1.372
Hg 3.009 -4.289 -2.107
Cd -0.669 -1.208 5.284
Hg 3.436 3.538 2.751
Cd 2.075 0.868 4.977
Hg 1.274 -1.373 2.100
Cd 3.326 -0.387 0.332
Cd -0.828 -4.140 3.465
Cd -1.940 -0.999 1.781
```

---

Last place for stability: iii

---

i.
Here is a PBEsol-optimized structure of CdIn2Hg from Alexandria via LeMat-Bulk. Energies are from SCAN.

Structure (extended XYZ):
```
4
Lattice="3.350 0.000 0.232 0.000 5.382 0.000 -0.380 0.000 5.246" Properties=species:S:1:pos:R:3 pbc="T T T"
Hg 0.159 2.691 3.744
In 0.399 0.000 0.220
Cd 1.883 0.000 2.987
In 2.014 2.691 1.267
```

---

ii.
Here is a PBEsol-optimized structure of CdIn2Hg from Alexandria via LeMat-Bulk. Energies are from SCAN.

Structure (extended XYZ):
```
4
Lattice="3.197 0.057 0.098 -0.981 5.762 0.124 -0.981 -2.712 5.085" Properties=species:S:1:pos:R:3 pbc="T T T"
Cd 1.598 0.029 0.049
In -0.491 2.881 0.062
In -0.491 -1.356 2.543
Hg 0.617 1.553 2.653
```

---

iii.
Here is a PBEsol-optimized structure of CdIn2Hg from Alexandria via LeMat-Bulk. Energies are from SCAN.

Structure (extended XYZ):
```
4
Lattice="3.333 0.000 0.000 0.000 4.505 0.000 0.000 0.000 6.263" Properties=species:S:1:pos:R:3 pbc="T T T"
In 0.000 0.000 6.234
In 1.667 2.252 1.602
Cd 0.000 0.000 3.155
Hg 1.667 2.252 4.666
```

---

Last place for stability: ii

---

i.
Here is a PBEsol-optimized structure of CdIn2Hg from Alexandria via LeMat-Bulk. Energies are from SCAN.

Structure (extended XYZ):
```
4
Lattice="-1.308 -3.025 -1.507 -0.555 -1.402 3.296 -6.660 2.838 0.085" Properties=species:S:1:pos:R:3 pbc="T T T"
In -2.674 -1.471 0.917
Cd -3.398 1.448 0.043
In -6.591 2.808 0.084
Hg -5.850 -0.118 0.957
```

---

ii.
Here is a PBEsol-optimized structure of CdIn2Hg from Alexandria via LeMat-Bulk. Energies are from SCAN.

Structure (extended XYZ):
```
4
Lattice="3.204 0.000 0.000 0.000 3.204 0.000 0.000 0.000 9.198" Properties=species:S:1:pos:R:3 pbc="T T T"
Hg 1.602 1.602 4.599
In 0.000 0.000 2.278
In 0.000 0.000 6.920
Cd 1.602 1.602 0.000
```

---

iii.
Here is a PBEsol-optimized structure of CdIn2Hg from Alexandria via LeMat-Bulk. Energies are from SCAN.

Structure (extended XYZ):
```
4
Lattice="-1.977 -4.209 2.181 0.451 -4.554 -2.332 3.117 -3.587 1.951" Properties=species:S:1:pos:R:3 pbc="T T T"
Cd 0.795 -6.175 0.900
In 0.000 0.000 0.000
In 1.193 -9.263 1.349
Hg 0.398 -3.088 0.450
```

---

iv.
Here is a PBEsol-optimized structure of CdIn2Hg from Alexandria via LeMat-Bulk. Energies are from SCAN.

Structure (extended XYZ):
```
8
Lattice="-0.269 -2.523 -3.477 -1.588 -3.184 2.423 -8.930 6.200 -1.302" Properties=species:S:1:pos:R:3 pbc="T T T"
In -7.872 1.049 -1.642
Hg -1.852 -5.673 -1.034
Cd -9.849 3.380 -1.812
In -3.730 -2.216 0.482
In -3.077 -1.885 -2.467
Cd -5.050 0.447 -2.657
In -6.938 3.901 -1.111
Hg -5.712 0.118 0.288
```

---

Last place for stability: iii

---

i.
Here is a PBEsol-optimized structure of CdIn2Hg from Alexandria via LeMat-Bulk. Energies are from SCAN.

Structure (extended XYZ):
```
4
Lattice="5.145 0.000 0.000 2.572 4.456 0.000 2.572 1.485 4.201" Properties=species:S:1:pos:R:3 pbc="T T T"
In 7.717 4.456 3.151
Cd 0.000 0.000 0.000
Hg 5.145 2.970 2.100
In 2.572 1.485 1.050
```

---

ii.
Here is a PBEsol-optimized structure of CdIn2Hg from Alexandria via LeMat-Bulk. Energies are from SCAN.

Structure (extended XYZ):
```
4
Lattice="-2.791 1.566 1.115 -2.987 -2.863 -3.455 2.253 -3.064 4.795" Properties=species:S:1:pos:R:3 pbc="T T T"
Hg -1.803 -3.243 0.042
In -3.516 -4.312 2.407
Cd -2.897 -0.694 -1.125
In -1.721 -1.120 2.416
```

---

Last place for stability: i

---

i.
Here is a PBEsol-optimized structure of CdIn2Hg from Alexandria via LeMat-Bulk. Energies are from SCAN.

Structure (extended XYZ):
```
4
Lattice="-2.051 0.246 2.613 3.863 -2.053 3.224 1.851 4.882 0.890" Properties=species:S:1:pos:R:3 pbc="T T T"
Cd 0.906 -0.904 2.919
In -0.148 3.844 2.625
Hg 2.857 1.414 2.057
In -0.052 1.283 0.879
```

---

ii.
Here is a PBEsol-optimized structure of CdIn2Hg from Alexandria via LeMat-Bulk. Energies are from SCAN.

Structure (extended XYZ):
```
4
Lattice="-0.822 2.910 -1.473 -0.979 -2.610 -4.610 -4.161 -0.713 4.437" Properties=species:S:1:pos:R:3 pbc="T T T"
Cd -0.411 1.455 -0.737
In -2.544 -0.284 0.702
In -3.417 -0.128 -2.348
Hg -1.311 1.605 -3.778
```

---

Last place for stability: ii

---

i.
Here is a PBEsol-optimized structure of CdIn2Hg from Alexandria via LeMat-Bulk. Energies are from SCAN.

Structure (extended XYZ):
```
4
Lattice="-2.357 -0.377 -2.222 -2.990 -0.910 0.932 -4.423 9.404 0.704" Properties=species:S:1:pos:R:3 pbc="T T T"
Cd -4.864 3.982 -0.302
In -7.304 6.004 -0.449
In -5.370 -1.200 -1.280
Hg -2.462 2.103 -0.138
```

---

ii.
Here is a PBEsol-optimized structure of CdIn2Hg from Alexandria via LeMat-Bulk. Energies are from SCAN.

Structure (extended XYZ):
```
4
Lattice="-1.595 0.812 -2.655 -3.083 -0.795 -0.336 -5.084 9.210 3.123" Properties=species:S:1:pos:R:3 pbc="T T T"
Hg -4.677 0.017 -2.990
Cd -4.882 4.613 0.065
In -2.519 2.311 -0.014
In -7.243 6.916 0.146
```

---

Last place for stability: ii

---

i.
Here is a PBEsol-optimized structure of CdIn2Hg from Alexandria via LeMat-Bulk. Energies are from SCAN.

Structure (extended XYZ):
```
4
Lattice="3.414 0.000 0.000 0.000 5.434 -0.130 -1.707 -0.985 5.085" Properties=species:S:1:pos:R:3 pbc="T T T"
In 0.000 0.041 0.037
In 0.000 3.540 2.402
Cd 0.000 1.737 4.983
Hg 1.707 0.863 2.552
```

---

ii.
Here is a PBEsol-optimized structure of CdIn2Hg from Alexandria via LeMat-Bulk. Energies are from SCAN.

Structure (extended XYZ):
```
4
Lattice="-3.548 2.624 1.541 -2.617 -1.422 -3.602 1.653 -3.909 3.375" Properties=species:S:1:pos:R:3 pbc="T T T"
In -2.488 -0.342 1.943
In -2.023 -2.365 -0.629
Hg 0.000 0.000 0.000
Cd -3.082 0.601 -1.031
```

---

iii.
Here is a PBEsol-optimized structure of CdIn2Hg from Alexandria via LeMat-Bulk. Energies are from SCAN.

Structure (extended XYZ):
```
4
Lattice="-0.556 4.624 0.293 -4.107 -0.355 -2.187 0.351 -2.614 4.744" Properties=species:S:1:pos:R:3 pbc="T T T"
Hg -3.044 -0.417 0.806
In 0.000 0.000 0.000
In -1.268 2.072 2.046
Cd -2.331 2.135 -0.947
```

---

Last place for stability: ii

---

i.
Here is a PBEsol-optimized structure of Cd2In2Hg from Alexandria via LeMat-Bulk. Energies are from SCAN.

Structure (extended XYZ):
```
5
Lattice="4.140 0.000 0.000 0.000 4.140 0.000 -2.070 -2.070 7.334" Properties=species:S:1:pos:R:3 pbc="T T T"
In 2.070 2.070 1.451
Hg 0.000 0.000 0.000
In 0.000 0.000 5.883
Cd 2.070 0.000 3.667
Cd 0.000 2.070 3.667
```

---

ii.
Here is a PBEsol-optimized structure of Cd2In2Hg from Alexandria via LeMat-Bulk. Energies are from SCAN.

Structure (extended XYZ):
```
10
Lattice="-1.247 1.687 -2.368 -5.533 -6.584 -1.776 -5.875 3.442 5.546" Properties=species:S:1:pos:R:3 pbc="T T T"
In -2.878 -0.039 1.488
In -8.531 -3.104 2.283
Hg -5.704 -1.571 1.885
In -4.769 -3.844 -0.226
Cd -3.433 -1.209 -1.166
In -6.640 0.701 3.997
Cd -7.684 -3.631 -0.653
Cd -4.972 2.176 2.055
Cd -9.223 -0.247 2.569
Hg 0.000 0.000 0.000
```

---

Last place for stability: i

---

i.
Here is a PBEsol-optimized structure of CdHgIr from Alexandria via LeMat-Bulk. Energies are from SCAN.

Structure (extended XYZ):
```
3
Lattice="2.953 0.000 0.000 -1.477 2.558 0.000 0.000 0.000 7.023" Properties=species:S:1:pos:R:3 pbc="T T T"
Hg 0.000 1.705 4.599
Ir 1.477 0.853 2.313
Cd 0.000 0.000 0.111
```

---

ii.
Here is a PBEsol-optimized structure of CdHgIr from Alexandria via LeMat-Bulk. Energies are from SCAN.

Structure (extended XYZ):
```
3
Lattice="3.003 0.000 0.000 0.000 3.003 0.000 -1.501 -1.501 5.931" Properties=species:S:1:pos:R:3 pbc="T T T"
Cd 1.501 1.501 5.782
Hg 1.501 1.501 2.105
Ir 0.000 0.000 3.976
```

---

Last place for stability: i

---

i.
Here is a PBEsol-optimized structure of Cd2HgIr from Alexandria via LeMat-Bulk. Energies are from SCAN.

Structure (extended XYZ):
```
4
Lattice="4.131 0.000 0.000 0.000 4.131 0.000 0.000 0.000 4.170" Properties=species:S:1:pos:R:3 pbc="T T T"
Ir 0.000 0.000 2.085
Hg 2.066 2.066 2.085
Cd 0.000 2.066 0.000
Cd 2.066 0.000 0.000
```

---

ii.
Here is a PBEsol-optimized structure of Cd2HgIr from Alexandria via LeMat-Bulk. Energies are from SCAN.

Structure (extended XYZ):
```
4
Lattice="-1.959 0.617 -2.141 0.351 -1.156 -2.710 -5.815 -7.896 0.989" Properties=species:S:1:pos:R:3 pbc="T T T"
Cd -1.736 -1.933 -1.025
Cd -5.687 -6.501 -2.838
Hg -3.711 -4.217 -1.931
Ir 0.000 0.000 0.000
```

---

Last place for stability: ii

---

i.
Here is a PBEsol-optimized structure of KCdHg from Alexandria via LeMat-Bulk. Energies are from SCAN.

Structure (extended XYZ):
```
3
Lattice="3.866 0.000 0.000 0.000 3.865 0.000 -1.933 -1.933 5.949" Properties=species:S:1:pos:R:3 pbc="T T T"
Hg 1.933 1.933 1.602
K 0.000 0.000 3.928
Cd 0.000 0.000 0.419
```

---

ii.
Here is a PBEsol-optimized structure of KCdHg from Alexandria via LeMat-Bulk. Energies are from SCAN.

Structure (extended XYZ):
```
3
Lattice="-2.044 -2.041 -2.134 3.908 -3.452 -0.441 -3.513 -0.502 3.845" Properties=species:S:1:pos:R:3 pbc="T T T"
Cd 0.000 0.000 0.000
K 0.412 -3.489 -0.079
Hg -1.039 -1.485 2.416
```

---

Last place for stability: i

---

i.
Here is a PBEsol-optimized structure of KCd2Hg2 from Alexandria via LeMat-Bulk. Energies are from SCAN.

Structure (extended XYZ):
```
5
Lattice="-1.447 1.387 4.192 -3.654 -2.853 -0.317 5.923 -3.885 0.755" Properties=species:S:1:pos:R:3 pbc="T T T"
Hg 2.616 -3.581 2.088
K 0.000 0.000 0.000
Hg -1.793 -1.769 2.542
Cd 0.963 -1.615 3.442
Cd -0.140 -3.735 1.188
```

---

ii.
Here is a PBEsol-optimized structure of KCd2Hg2 from Alexandria via LeMat-Bulk. Energies are from SCAN.

Structure (extended XYZ):
```
10
Lattice="3.219 0.000 0.000 0.000 8.810 0.000 0.000 0.000 8.810" Properties=species:S:1:pos:R:3 pbc="T T T"
Cd 1.610 5.657 7.557
Hg 0.000 1.340 3.064
Hg 0.000 5.745 1.340
Cd 1.610 1.252 5.657
K 0.000 0.000 0.000
Cd 1.610 3.152 1.252
K 0.000 4.405 4.405
Hg 0.000 7.469 5.745
Cd 1.610 7.557 3.152
Hg 0.000 3.064 7.469
```

---

Last place for stability: ii